Entry from Alexandria via LeMat-Bulk: crystalline RbMn2Pd at its relaxed geometry (GGA-PBEsol).

The uncorrected energy is -5.496 eV/atom. The total magnetization comes out at 8.39 μB per cell. The calculation puts the formation energy at 1.1302 eV/atom. Its space group is Fm-3m, No. 225.

a b c (Å): 4.788 4.788 4.788
angles (deg): 60.00 60.00 60.00
Fractional positions:
Rb1 0.000 0.000 0.000
Mn1 0.250 0.250 0.250
Mn2 0.750 0.750 0.750
Pd1 0.500 0.500 0.500